No. 1
Entry from Alexandria via LeMat-Bulk: crystalline Ce3ThIn at its relaxed geometry (GGA-PBE).

Output
Its symmetry is P2_1/m, No. 11. As for the crystal system: monoclinic. The energy above the most stable polymorph in this dataset is 0 meV per atom.

a = 5.505 Å, b = 6.667 Å, c = 8.162 Å
α = 90.00°, β = 107.31°, γ = 90.00°
Fractional coordinates of all 10 atoms:
Ce (0.083, 0.250, 0.185)
Ce (0.337, 0.001, 0.611)
Ce (0.337, 0.499, 0.611)
Ce (0.663, 0.501, 0.389)
Ce (0.663, 0.999, 0.389)
Ce (0.917, 0.750, 0.815)
Th (0.498, 0.250, 0.992)
Th (0.502, 0.750, 0.008)
In (0.104, 0.750, 0.247)
In (0.896, 0.250, 0.753)

=====

No. 2
Entry from Alexandria via LeMat-Bulk: crystalline Zr2CdMo at its relaxed geometry (GGA-PBE).

Output
Its symmetry is P4/mmm, No. 123. As for the crystal system: tetragonal.

a = 3.438 Å, b = 3.438 Å, c = 6.967 Å
α = 90.00°, β = 90.00°, γ = 90.00°
Fractional coordinates of all 4 atoms:
Zr (0.000, 0.000, 0.221)
Zr (0.000, 0.000, 0.779)
Cd (0.500, 0.500, 0.500)
Mo (0.500, 0.500, 0.000)

=====

Number 1: calculated volume 28.60 Å³ per atom, energy of formation -0.04 eV per atom. Number 2: calculated volume 20.59 Å³ per atom, energy of formation -0.11 eV per atom.